Entry 1:
The following is a DFT calculation (GGA-PBE) of a relaxed Be3Cu6Si crystal.

As for the electronic total energy: -40.144 eV per formula unit. As for the crystal system: monoclinic. The calculation puts the volume at 117.9 Å³/f.u.

a b c (Å): 4.4108 6.1717 4.4108
angles (deg): 82.99 93.67 82.99
Fractional positions:
Be: 0.0000 0.0000 0.0000
Cu: 0.2938 0.6651 0.9190
Cu: 0.6307 0.1192 0.6307
Si: 0.5000 0.5000 0.5000
Cu: 0.3693 0.8808 0.3693
Cu: 0.0810 0.3349 0.7062
Be: 0.7729 0.7425 0.7729
Be: 0.2271 0.2575 0.2271
Cu: 0.9190 0.6651 0.2938
Cu: 0.7062 0.3349 0.0810

***

Entry 2:
The following is a DFT calculation (GGA-PBE) of a relaxed BeCu2Si2 crystal.

As for the electronic total energy: -20.682 eV per formula unit. As for the crystal system: tetragonal. The calculation puts the volume at 66.4 Å³/f.u.

a b c (Å): 6.7771 6.7771 2.8909
angles (deg): 90.00 90.00 90.00
Fractional positions:
Cu: 0.8717 0.6283 0.0000
Si: 0.8247 0.3247 0.5000
Si: 0.3247 0.1753 0.5000
Cu: 0.3717 0.8717 0.0000
Cu: 0.1283 0.3717 0.0000
Si: 0.6753 0.8247 0.5000
Be: 0.5000 0.5000 0.0000
Be: 0.0000 0.0000 0.0000
Si: 0.1753 0.6753 0.5000
Cu: 0.6283 0.1283 0.0000

***

Entry 3:
The following is a DFT calculation (GGA-PBE) of a relaxed BeCu5Si crystal.

As for the electronic total energy: -29.674 eV per formula unit. As for the crystal system: orthorhombic. The calculation puts the volume at 83.2 Å³/f.u.

a b c (Å): 4.2015 4.2015 9.6748
angles (deg): 90.00 90.00 103.10
Fractional positions:
Cu: 0.1536 0.5676 0.6094
Cu: 0.9335 0.9335 0.2500
Cu: 0.1536 0.5676 0.8906
Cu: 0.5676 0.1536 0.8906
Cu: 0.8464 0.4324 0.1094
Be: 0.0000 0.0000 0.5000
Cu: 0.0665 0.0665 0.7500
Cu: 0.5676 0.1536 0.6094
Cu: 0.4324 0.8464 0.3906
Cu: 0.8464 0.4324 0.3906
Si: 0.3656 0.3656 0.2500
Be: 0.0000 0.0000 0.0000
Cu: 0.4324 0.8464 0.1094
Si: 0.6344 0.6344 0.7500

***

Entry 4:
The following is a DFT calculation (GGA-PBE) of a relaxed BeCu14Si crystal.

As for the electronic total energy: -66.548 eV per formula unit. As for the crystal system: orthorhombic. The calculation puts the volume at 187.9 Å³/f.u.

a b c (Å): 5.0382 5.0382 8.2651
angles (deg): 90.00 90.00 116.40
Fractional positions:
Cu: 0.3739 0.6261 0.2490
Cu: 0.8760 0.6342 0.7405
Cu: 0.8760 0.6342 0.2595
Cu: 0.1951 0.3037 0.0000
Cu: 0.3739 0.6261 0.7510
Cu: 0.3658 0.1240 0.2595
Cu: 0.3658 0.1240 0.7405
Be: 0.0603 0.9397 0.5000
Cu: 0.6930 0.3070 0.0000
Cu: 0.8725 0.1275 0.7510
Cu: 0.8725 0.1275 0.2490
Si: 0.5611 0.4389 0.5000
Cu: 0.1950 0.8050 0.0000
Cu: 0.6963 0.8049 0.0000
Cu: 0.5615 0.9387 0.5000
Cu: 0.0613 0.4385 0.5000

***

Entry 5:
The following is a DFT calculation (GGA-PBE) of a relaxed Be2Cu6Si crystal.

As for the electronic total energy: -37.913 eV per formula unit. As for the crystal system: orthorhombic. The calculation puts the volume at 100.2 Å³/f.u.

a b c (Å): 3.6667 5.3714 5.7123
angles (deg): 83.71 71.28 70.04
Fractional positions:
Si: 0.0000 0.5000 0.5000
Cu: 0.6752 0.8104 0.8392
Cu: 0.9856 0.1896 0.8392
Be: 0.6667 0.5000 0.1666
Cu: 0.6588 0.1823 0.5000
Cu: 0.3412 0.8177 0.5000
Cu: 0.0144 0.8104 0.1608
Be: 0.3333 0.5000 0.8334
Cu: 0.3248 0.1896 0.1608

***

Entry 6:
The following is a DFT calculation (GGA-PBE) of a relaxed Sm2Be3CuSi4 crystal.

As for the electronic total energy: -50.616 eV per formula unit. As for the crystal system: tetragonal. The calculation puts the volume at 153.0 Å³/f.u.

a b c (Å): 3.9736 3.9736 9.6894
angles (deg): 90.00 90.00 90.00
Fractional positions:
Sm: 0.0000 0.5000 0.7529
Si: 0.0000 0.5000 0.3642
Cu: 0.5000 0.5000 0.5000
Si: 0.5000 0.0000 0.6358
Si: 0.5000 0.5000 0.0000
Be: 0.5000 0.0000 0.8712
Si: 0.0000 0.0000 0.0000
Be: 0.0000 0.0000 0.5000
Sm: 0.5000 0.0000 0.2471
Be: 0.0000 0.5000 0.1288

***

Entry 7:
The following is a DFT calculation (GGA-PBE) of a relaxed Sm2Be3Cu12Si crystal.

As for the electronic total energy: -70.053 eV per formula unit. As for the crystal system: trigonal. The calculation puts the volume at 287.1 Å³/f.u.

a b c (Å): 7.2921 7.2921 7.2921
angles (deg): 62.12 62.12 62.12
Fractional positions:
Cu: 0.8833 0.3743 0.8833
Cu: 0.8833 0.8833 0.3743
Cu: 0.3404 0.9041 0.3404
Cu: 0.0959 0.6596 0.6596
Cu: 0.6596 0.0959 0.6596
Cu: 0.3743 0.8833 0.8833
Sm: 0.3913 0.3913 0.3913
Be: 0.0000 0.5000 0.0000
Sm: 0.6087 0.6087 0.6087
Be: 0.0000 0.0000 0.5000
Cu: 0.6257 0.1167 0.1167
Cu: 0.1167 0.6257 0.1167
Si: 0.0000 0.0000 0.0000
Be: 0.5000 0.0000 0.0000
Cu: 0.1167 0.1167 0.6257
Cu: 0.3404 0.3404 0.9041
Cu: 0.9041 0.3404 0.3404
Cu: 0.6596 0.6596 0.0959

***

Entry 8:
The following is a DFT calculation (GGA-PBE) of a relaxed BeCu2SiSn crystal.

As for the electronic total energy: -17.229 eV per formula unit. As for the crystal system: tetragonal. The calculation puts the volume at 103.9 Å³/f.u.

a b c (Å): 4.3713 5.4379 4.3713
angles (deg): 90.00 90.00 90.00
Fractional positions:
Si: 0.0000 0.0000 0.0000
Be: 0.5000 0.5000 0.5000
Cu: 0.5000 0.0000 0.0000
Sn: 0.0000 0.5000 0.0000
Cu: 0.0000 0.0000 0.5000

***

Entry 9:
The following is a DFT calculation (GGA-PBE) of a relaxed Tb2Be3CuSi4 crystal.

As for the electronic total energy: -50.441 eV per formula unit. As for the crystal system: tetragonal. The calculation puts the volume at 148.6 Å³/f.u.

a b c (Å): 3.9271 3.9271 9.6380
angles (deg): 90.00 90.00 90.00
Fractional positions:
Be: 0.0000 0.0000 0.5000
Si: 0.0000 0.0000 0.0000
Be: 0.5000 0.0000 0.8703
Tb: 0.0000 0.5000 0.7534
Si: 0.0000 0.5000 0.3622
Si: 0.5000 0.5000 0.0000
Tb: 0.5000 0.0000 0.2466
Cu: 0.5000 0.5000 0.5000
Si: 0.5000 0.0000 0.6378
Be: 0.0000 0.5000 0.1297

***

Entry 10:
The following is a DFT calculation (GGA-PBE) of a relaxed BeCu2SiTc crystal.

As for the electronic total energy: -25.394 eV per formula unit. As for the crystal system: tetragonal. The calculation puts the volume at 64.8 Å³/f.u.

a b c (Å): 3.9166 4.2230 3.9166
angles (deg): 90.00 90.00 90.00
Site moments in Bohr magnetons follow the coordinates.
Fractional positions:
Cu: 0.5000 0.0000 0.0000  0.03
Si: 0.5000 0.5000 0.5000  0.01
Cu: 0.0000 0.0000 0.5000  0.01
Tc: 0.0000 0.5000 0.0000  0.53
Be: 0.0000 0.0000 0.0000  -0.01

***

Entry 11:
The following is a DFT calculation (GGA-PBE) of a relaxed BeCu2SiTe4 crystal.

As for the electronic total energy: -30.907 eV per formula unit. As for the crystal system: tetragonal. The calculation puts the volume at 205.1 Å³/f.u.

a b c (Å): 5.8495 5.8495 7.2827
angles (deg): 113.67 113.67 90.01
Fractional positions:
Te: 0.3672 0.8810 0.2482
Cu: 0.2501 0.7501 0.5001
Cu: 0.7501 0.2501 0.5001
Te: 0.1192 0.1192 0.7519
Te: 0.6328 0.6327 0.7519
Te: 0.8810 0.3672 0.2482
Be: 0.9999 0.9999 0.9999
Si: 0.5001 0.5001 0.0002

***

Entry 12:
The following is a DFT calculation (GGA-PBE) of a relaxed Th2Be4CuSi3 crystal.

As for the electronic total energy: -53.965 eV per formula unit. As for the crystal system: tetragonal. The calculation puts the volume at 152.2 Å³/f.u.

a b c (Å): 3.9901 3.9901 9.5576
angles (deg): 90.00 90.00 90.00
Fractional positions:
Be: 0.0000 0.5000 0.3731
Cu: 0.5000 0.5000 0.5000
Th: 0.0000 0.5000 0.7508
Si: 0.0000 0.0000 0.5000
Be: 0.0000 0.0000 0.0000
Si: 0.0000 0.5000 0.1289
Be: 0.5000 0.0000 0.6269
Th: 0.5000 0.0000 0.2492
Si: 0.5000 0.0000 0.8711
Be: 0.5000 0.5000 0.0000

***

Entry 13:
The following is a DFT calculation (GGA-PBE) of a relaxed Th2Be3CuSi4 crystal.

As for the electronic total energy: -55.865 eV per formula unit. As for the crystal system: tetragonal. The calculation puts the volume at 157.5 Å³/f.u.

a b c (Å): 4.1014 4.1014 9.3634
angles (deg): 90.00 90.00 90.00
Fractional positions:
Be: 0.0000 0.5000 0.1191
Si: 0.0000 0.0000 0.0000
Si: 0.0000 0.5000 0.3643
Be: 0.0000 0.0000 0.5000
Cu: 0.5000 0.5000 0.5000
Be: 0.5000 0.0000 0.8809
Th: 0.5000 0.0000 0.2471
Th: 0.0000 0.5000 0.7529
Si: 0.5000 0.5000 0.0000
Si: 0.5000 0.0000 0.6357

***

Entry 14:
The following is a DFT calculation (GGA-PBE) of a relaxed Th2BeCu3Si4 crystal.

As for the electronic total energy: -57.412 eV per formula unit. As for the crystal system: tetragonal. The calculation puts the volume at 165.0 Å³/f.u.

a b c (Å): 4.1245 4.1245 9.6997
angles (deg): 90.00 90.00 90.00
Fractional positions:
Th: 0.0000 0.5000 0.7468
Be: 0.5000 0.5000 0.5000
Th: 0.5000 0.0000 0.2532
Cu: 0.5000 0.0000 0.8718
Cu: 0.0000 0.5000 0.1282
Si: 0.5000 0.0000 0.6272
Si: 0.0000 0.0000 0.0000
Si: 0.0000 0.5000 0.3728
Cu: 0.0000 0.0000 0.5000
Si: 0.5000 0.5000 0.0000

***

Entry 15:
The following is a DFT calculation (GGA-PBE) of a relaxed ThBeCuSi2 crystal.

As for the electronic total energy: -28.339 eV per formula unit. As for the crystal system: tetragonal. The calculation puts the volume at 81.1 Å³/f.u.

a b c (Å): 4.0291 4.0291 5.7504
angles (deg): 110.51 110.51 90.00
Fractional positions:
Cu: 0.2500 0.7500 0.5000
Th: 0.0000 0.0000 0.0000
Si: 0.6228 0.6228 0.2456
Si: 0.3772 0.3772 0.7544
Be: 0.7500 0.2500 0.5000

***

Entry 16:
The following is a DFT calculation (GGA-PBE) of a relaxed TmBeCuSi2 crystal.

As for the electronic total energy: -25.381 eV per formula unit. As for the crystal system: tetragonal. The calculation puts the volume at 74.6 Å³/f.u.

a b c (Å): 3.8959 3.8959 5.6325
angles (deg): 110.23 110.23 90.00
Fractional positions:
Si: 0.3812 0.3812 0.7623
Be: 0.2500 0.7500 0.5000
Si: 0.6188 0.6188 0.2377
Cu: 0.7500 0.2500 0.5000
Tm: 0.0000 0.0000 0.0000

***

Entry 17:
The following is a DFT calculation (GGA-PBE) of a relaxed TmBeCu6Si crystal.

As for the electronic total energy: -38.996 eV per formula unit. As for the crystal system: orthorhombic. The calculation puts the volume at 127.1 Å³/f.u.

a b c (Å): 7.8500 4.9604 8.0128
angles (deg): 108.03 119.33 90.00
Fractional positions:
Cu: 0.6451 0.8951 0.2903
Cu: 0.1476 0.4108 0.8122
Tm: 0.2447 0.4947 0.4895
Cu: 0.1476 0.9014 0.8122
Cu: 0.9959 0.7459 0.9918
Cu: 0.6646 0.9014 0.8122
Si: 0.5000 0.0000 0.5000
Be: 0.5000 0.0000 0.0000
Cu: 0.3354 0.0986 0.1878
Cu: 0.6646 0.4108 0.8122
Cu: 0.3354 0.5892 0.1878
Cu: 0.3549 0.1049 0.7097
Cu: 0.8524 0.5892 0.1878
Tm: 0.7553 0.5053 0.5105
Si: 0.0000 0.0000 0.5000
Cu: 0.0041 0.2541 0.0082
Be: 0.5000 0.5000 0.0000
Cu: 0.8524 0.0986 0.1878

***

Entry 18:
The following is a DFT calculation (GGA-PBE) of a relaxed Tm2Be3CuSi4 crystal.

As for the electronic total energy: -49.810 eV per formula unit. As for the crystal system: tetragonal. The calculation puts the volume at 144.6 Å³/f.u.

a b c (Å): 3.8838 3.8838 9.5852
angles (deg): 90.00 90.00 90.00
Fractional positions:
Be: 0.5000 0.0000 0.8697
Si: 0.0000 0.0000 0.0000
Be: 0.0000 0.0000 0.5000
Tm: 0.5000 0.0000 0.2462
Cu: 0.5000 0.5000 0.5000
Si: 0.0000 0.5000 0.3602
Si: 0.5000 0.0000 0.6398
Si: 0.5000 0.5000 0.0000
Be: 0.0000 0.5000 0.1303
Tm: 0.0000 0.5000 0.7538

***

Entry 19:
The following is a DFT calculation (GGA-PBE) of a relaxed U2Be3CuSi4 crystal.

As for the electronic total energy: -61.807 eV per formula unit. As for the crystal system: tetragonal. The calculation puts the volume at 144.9 Å³/f.u.

a b c (Å): 3.9040 3.9040 9.5098
angles (deg): 90.00 90.00 90.00
Site moments in Bohr magnetons follow the coordinates.
Fractional positions:
Be: 0.0000 0.0000 0.5000  0.01
Si: 0.0000 0.5000 0.3600  -0.03
Si: 0.5000 0.5000 0.0000  -0.02
Si: 0.0000 0.0000 0.0000  -0.02
Cu: 0.5000 0.5000 0.5000  0.01
Si: 0.5000 0.0000 0.6400  -0.03
U: 0.5000 0.0000 0.2425  2.18
Be: 0.0000 0.5000 0.1269  0.00
Be: 0.5000 0.0000 0.8731  0.00
U: 0.0000 0.5000 0.7575  2.18

***

Entry 20:
The following is a DFT calculation (GGA-PBE) of a relaxed YBeCu6Si crystal.

As for the electronic total energy: -41.052 eV per formula unit. As for the crystal system: orthorhombic. The calculation puts the volume at 128.9 Å³/f.u.

a b c (Å): 7.9193 4.9733 8.0461
angles (deg): 108.00 119.48 90.00
Fractional positions:
Cu: 0.0027 0.2527 0.0054
Cu: 0.3557 0.1057 0.7115
Cu: 0.1497 0.4108 0.8138
Y: 0.2438 0.4938 0.4875
Cu: 0.3359 0.5892 0.1862
Cu: 0.9973 0.7473 0.9946
Be: 0.5000 0.0000 0.0000
Cu: 0.8503 0.0970 0.1862
Cu: 0.6443 0.8943 0.2885
Cu: 0.8503 0.5892 0.1862
Y: 0.7562 0.5062 0.5125
Cu: 0.3359 0.0970 0.1862
Be: 0.5000 0.5000 0.0000
Cu: 0.6641 0.4108 0.8138
Cu: 0.6641 0.9030 0.8138
Cu: 0.1497 0.9030 0.8138
Si: 0.0000 0.0000 0.5000
Si: 0.5000 0.0000 0.5000

***

no.,N(E_F) (states/eV/atom)
1,0.33
2,0.37
3,0.17
4,0.36
5,0.25
6,0.30
7,0.49
8,0.29
9,0.33
10,0.63
11,0.02
12,0.39
13,0.32
14,0.25
15,0.36
16,0.32
17,0.30
18,0.37
19,1.31
20,0.30